A relaxed MnHgO3 crystal, computed with PBE+U.

Its total energy is -108.1 eV per cell.

Lattice parameters (Å, degrees): 12.453 3.022 8.489 90.00 121.10 90.00
Space group C2/m (No. 12)
One atom of each set of equivalent atoms:
Mn (0.197, 0.000, 0.325) [4 per cell]
Hg (0.100, 0.500, 0.832) [4 per cell]
O (0.081, 0.500, 0.219) [4 per cell]
O (0.188, 0.000, 0.551) [4 per cell]
O (0.221, 0.000, 0.126) [4 per cell]